The following is a GGA+U calculation of an optimized crystal structure of LiVP4O12, from the Alexandria database.

```
LiVP4O12
1.0
7.7267 -3.6853 0.0000
7.7267 3.6853 0.0000
-5.1657 0.0000 8.2970
Li V P O
2 2 8 24
Direct
0.1925 0.8075 0.7500
0.8075 0.1925 0.2500
0.3632 0.6368 0.2500
0.6368 0.3632 0.7500
0.0518 0.2117 0.6403
0.1962 0.5327 0.8403
0.2117 0.0518 0.1403
0.4673 0.8038 0.6597
0.5327 0.1962 0.3403
0.7883 0.9482 0.8597
0.8038 0.4673 0.1597
0.9482 0.7883 0.3597
0.0085 0.8314 0.5371
0.0124 0.2587 0.2056
0.1003 0.7065 0.2718
0.1410 0.3618 0.7137
0.1686 0.9915 0.9629
0.2493 0.5300 0.0091
0.2587 0.0124 0.7056
0.2935 0.8997 0.2282
0.3511 0.5121 0.7898
0.3618 0.1410 0.2137
0.4700 0.7507 0.4909
0.4879 0.6489 0.7102
0.5121 0.3511 0.2898
0.5300 0.2493 0.5091
0.6382 0.8590 0.7863
0.6489 0.4879 0.2102
0.7065 0.1003 0.7718
0.7413 0.9876 0.2944
0.7507 0.4700 0.9909
0.8314 0.0085 0.0371
0.8590 0.6382 0.2863
0.8997 0.2935 0.7282
0.9876 0.7413 0.7944
0.9915 0.1686 0.4629
```

Results
**SG**: C2/c
**E above lowest polymorph**: 24 meV/atom

***

The following is a GGA+U calculation of an optimized crystal structure of RbTmVF6, from the Alexandria database.

```
RbTmVF6
1.0
-3.8737 4.0408 5.5803
3.8737 -4.0408 5.5803
3.8737 4.0408 -5.5803
Rb Tm V F
2 2 2 12
Direct
0.3163 0.0663 0.2500
0.6837 0.9337 0.7500
0.0000 0.5000 0.5000
0.5000 0.5000 0.0000
0.0000 0.0000 0.5000
0.0000 0.5000 0.0000
0.0583 0.4159 0.2343
0.0583 0.8241 0.6424
0.0687 0.8187 0.2500
0.3184 0.1759 0.7343
0.3184 0.5841 0.1424
0.3202 0.5702 0.7500
0.6798 0.4298 0.2500
0.6816 0.4159 0.8576
0.6816 0.8241 0.2657
0.9313 0.1813 0.7500
0.9417 0.1759 0.3576
0.9417 0.5841 0.7657
```

Results
**SG**: Imma
**VASP energy**: -6.036 eV/atom

***

Number 1: calculated volume 13.1 A^3/atom, total moment 4.00 Bohr magnetons per cell. Number 2: calculated volume 19.4 A^3/atom, total moment 6.00 Bohr magnetons per cell.